Compound: LiTmScZn
Source: the Alexandria database
Functional: PBE
Structure: optimized geometry

Lattice parameters (Å, degrees): 4.9177 4.9177 4.9177 60.00 60.00 60.00
With the nearest neighbours (Å) after each atom.
Sites, in units of the cell vectors:
Sc: 0.2500 0.2500 0.2500  4 Li 3.01, 4 Zn 3.01
Zn: 0.0000 0.0000 0.0000  4 Tm 3.01, 4 Sc 3.01
Tm: 0.7500 0.7500 0.7500  4 Zn 3.01, 4 Li 3.01
Li: 0.5000 0.5000 0.5000  4 Sc 3.01, 4 Tm 3.01

Results
Calculated formation energy in eV/f.u.: -0.44
N(E_F) in states/eV/atom: 1.356